# TbLu2In | Alexandria via LeMat-Bulk | PBE | relaxed
# Calculated formation energy: -0.2549 eV per atom
# E_tot: -4.36 eV/atom
# Calculated volume: 109.8 Å³/f.u.
data_TbLu2In
_chemical_formula_sum 'Tb1 Lu2 In1'
_cell_length_a 4.789
_cell_length_b 4.789
_cell_length_c 4.788
_cell_angle_alpha 90.00
_cell_angle_beta 90.00
_cell_angle_gamma 90.00
_symmetry_space_group_name_H-M 'P 4/m m m'
_symmetry_Int_Tables_number 123
_symmetry_space_group_name_Hall '-P 4 2'
loop_
_atom_site_label
_atom_site_type_symbol
_atom_site_fract_x
_atom_site_fract_y
_atom_site_fract_z
Tb1 Tb 0.000 0.000 0.000
Lu1 Lu 0.000 0.500 0.500
In1 In 0.500 0.500 0.000

---

# KNa3Hg7 | Alexandria via LeMat-Bulk | PBE | relaxed
# Calculated formation energy: -0.2034 eV per atom
# E_tot: -0.85 eV/atom
# Calculated volume: 322.7 Å³/f.u.
data_KNa3Hg7
_chemical_formula_sum 'K4 Na12 Hg28'
_cell_length_a 4.786
_cell_length_b 27.051
_cell_length_c 9.970
_cell_angle_alpha 90.00
_cell_angle_beta 90.00
_cell_angle_gamma 90.00
_symmetry_space_group_name_H-M 'C m c m'
_symmetry_Int_Tables_number 63
_symmetry_space_group_name_Hall '-C 2c 2'
loop_
_atom_site_label
_atom_site_type_symbol
_atom_site_fract_x
_atom_site_fract_y
_atom_site_fract_z
K1 K 0.000 0.043 0.250
Na1 Na 0.000 0.120 0.587
Na2 Na 0.000 0.207 0.250
Hg1 Hg 0.000 0.236 0.588
Hg2 Hg 0.000 0.330 0.250
Hg3 Hg 0.000 0.355 0.596
Hg4 Hg 0.000 0.455 0.090

---

# Na2PmIrO6 | Alexandria via LeMat-Bulk | PBE | relaxed
# Formation energy without anion corrections: -1.613 eV/atom
# E_tot: -6.21 eV/atom
# Calculated volume: 135.8 Å³/f.u.
data_Na2PmIrO6
_chemical_formula_sum 'Na4 Pm2 Ir2 O12'
_cell_length_a 5.702
_cell_length_b 5.835
_cell_length_c 9.911
_cell_angle_alpha 90.00
_cell_angle_beta 124.56
_cell_angle_gamma 90.00
_symmetry_space_group_name_H-M 'P 1 21/c 1'
_symmetry_Int_Tables_number 14
loop_
_symmetry_equiv_pos_as_xyz
'x,y,z'
'-x,-y,-z'
'-x,y+1/2,-z+1/2'
'x,-y+1/2,z+1/2'
loop_
_atom_site_label
_atom_site_type_symbol
_atom_site_fract_x
_atom_site_fract_y
_atom_site_fract_z
Na1 Na 0.240 0.041 0.251
Pm1 Pm 0.500 0.000 0.000
Ir1 Ir 0.000 0.000 0.500
O1 O 0.121 0.228 0.947
O2 O 0.226 0.681 0.953
O3 O 0.318 0.031 0.724